Entry 1:
The following is a PBE calculation of a geometry-optimized Tl4CdAu structure, from Alexandria.

The structure in POSCAR format:
```
Tl4CdAu
1.0
-5.6643 -2.7210 -1.0167
-5.3463 3.1665 1.3828
-3.7506 2.1136 -4.6890
Tl Cd Au
4 1 1
direct
0.3754 0.8739 0.3754
0.3754 0.3754 0.8739
0.3754 0.3754 0.3754
0.8739 0.3754 0.3754
0.0000 0.0000 0.0000
0.7500 0.7500 0.7500
```

Computed properties:
uncorrected energy = -2.011 eV/atom
calculated formation energy = 0.27 eV per atom
spin magnetization = 0.00 μB/f.u.

***

Entry 2:
The following is a PBE calculation of a geometry-optimized Fe2B3 structure, from Alexandria.

The structure in POSCAR format:
```
Fe2B3
1.0
-1.0728 0.7263 2.6638
2.7315 1.6199 2.3054
-0.1280 3.8854 0.5360
B Fe
3 2
direct
0.5000 0.2795 0.7205
0.5000 0.7205 0.2795
0.0000 0.0000 0.0000
0.7888 0.7112 0.7112
0.2112 0.2888 0.2888
```

Computed properties:
uncorrected energy = -7.580 eV/atom
calculated formation energy = -0.19 eV per atom
spin magnetization = 0.00 μB/f.u.

***

Number 1: volume 30.399 A^3/atom. Number 2: volume 7.245 A^3/atom.